A plane-wave DFT calculation with PBE was carried out for a relaxed KH6BrN2 crystal.

Summary:
- Fermi-level density of states: 0.000 states/eV/f.u.
- E_tot: -0.1680 Ha/atom
- SG: C2/c (15)

Cell and atoms, written as CIF:
```
data_KH6BrN2
_chemical_formula_sum 'K2 H12 Br2 N4'
_cell_length_a 7.657
_cell_length_b 7.657
_cell_length_c 7.397
_cell_angle_alpha 102.84
_cell_angle_beta 102.84
_cell_angle_gamma 130.43
_space_group_name_H-M_alt 'P 1'
_space_group_IT_number 1
loop_
_space_group_symop_operation_xyz
'x,y,z'
loop_
_atom_site_label
_atom_site_fract_x
_atom_site_fract_y
_atom_site_fract_z
K1 0.211 0.789 0.250
K2 0.789 0.211 0.750
H1 0.916 0.118 0.088
H2 0.882 0.084 0.412
H3 0.084 0.882 0.912
H4 0.118 0.916 0.588
H5 0.225 0.316 0.143
H6 0.684 0.775 0.357
H7 0.775 0.684 0.857
H8 0.316 0.225 0.643
H9 0.155 0.393 0.315
H10 0.607 0.845 0.185
H11 0.845 0.607 0.685
H12 0.393 0.155 0.815
Br1 0.630 0.370 0.250
Br2 0.370 0.630 0.750
N1 0.313 0.092 0.655
N2 0.908 0.687 0.845
N3 0.687 0.908 0.345
N4 0.092 0.313 0.155
```